The following is a DFT calculation (GGA-PBE) of a relaxed structure of Nb4GeAsC2.

a b c (Å): 3.3080 3.3080 12.2959
angles (deg): 90.00 90.00 120.00
Element x y z (fractional)
Nb  0.0000  0.0000  0.1530
Nb  0.0000  0.0000  0.8470
Nb  0.6667  0.3333  0.3405
Nb  0.6667  0.3333  0.6595
Ge  0.0000  0.0000  0.5000
As  0.6667  0.3333  0.0000
C  0.3333  0.6667  0.2480
C  0.3333  0.6667  0.7520



The following is a DFT calculation (GGA-PBE) of a relaxed structure of GePAuO.

Properties
The polymorph energy (0 for the lowest one) comes out at 370 meV/atom.

a b c (Å): 3.9524 3.9524 8.9269
angles (deg): 90.00 90.00 90.00
Element x y z (fractional)
Ge  0.2500  0.2500  0.1034
Ge  0.7500  0.7500  0.8966
P  0.2500  0.2500  0.6721
P  0.7500  0.7500  0.3279
Au  0.2500  0.7500  0.5000
Au  0.7500  0.2500  0.5000
O  0.2500  0.7500  0.0000
O  0.7500  0.2500  0.0000



The following is a DFT calculation (GGA-PBE) of a relaxed structure of LuTa2Ge.

a b c (Å): 4.7531 4.7531 4.7531
angles (deg): 60.00 60.00 60.00
Element x y z (fractional)
Lu  0.0000  0.0000  0.0000
Ta  0.2500  0.2500  0.2500
Ta  0.5000  0.5000  0.5000
Ge  0.7500  0.7500  0.7500



The following is a DFT calculation (GGA-PBE) of a relaxed structure of Gd2Ho2CCl5.

a b c (Å): 8.7367 8.7367 7.8750
angles (deg): 103.12 103.12 24.77
Element x y z (fractional)
Gd  0.0018  0.0018  0.2884
Gd  0.9982  0.9982  0.7116
Ho  0.3571  0.3571  0.4201
Ho  0.6429  0.6429  0.5799
C  0.5000  0.5000  0.5000
Cl  0.1650  0.1650  0.8326
Cl  0.1728  0.1728  0.3482
Cl  0.5000  0.5000  0.0000
Cl  0.8272  0.8272  0.6518
Cl  0.8350  0.8350  0.1674



The following is a DFT calculation (GGA-PBE) of a relaxed structure of PmInFe.

Properties
The polymorph energy (0 for the lowest one) comes out at 611 meV/atom.

a b c (Å): 4.8358 4.8358 4.8358
angles (deg): 60.00 60.00 60.00
Element x y z (fractional)
Pm  0.0000  0.0000  0.0000
In  0.2500  0.2500  0.2500
Fe  0.7500  0.7500  0.7500



The following is a DFT calculation (GGA-PBE) of a relaxed structure of SmPa.

Properties
The polymorph energy (0 for the lowest one) comes out at 1810 meV/atom. The energy of formation comes out at 2048.0 meV per atom.

a b c (Å): 4.5212 4.5212 4.5212
angles (deg): 60.00 60.00 60.00
Element x y z (fractional)
Sm  0.0000  0.0000  0.0000
Pa  0.2500  0.2500  0.2500



The following is a DFT calculation (GGA-PBE) of a relaxed structure of NdTlB.

Properties
The polymorph energy (0 for the lowest one) comes out at 0 meV/atom.

a b c (Å): 4.5404 4.5404 4.5404
angles (deg): 60.00 60.00 60.00
Element x y z (fractional)
Nd  0.0000  0.0000  0.0000
Tl  0.5000  0.5000  0.5000
B  0.2500  0.2500  0.2500



The following is a DFT calculation (GGA-PBE) of a relaxed structure of YTm2Sn3Pd3.

a b c (Å): 3.8492 7.6362 7.6362
angles (deg): 120.25 90.00 90.00
Element x y z (fractional)
Y  0.0000  0.0000  0.0000
Tm  0.0000  0.1970  0.5985
Tm  0.0000  0.5985  0.1970
Sn  0.5000  0.3342  0.3342
Sn  0.5000  0.5983  0.8615
Sn  0.5000  0.8615  0.5983
Pd  0.0000  0.5954  0.5954
Pd  0.5000  0.2692  0.9306
Pd  0.5000  0.9306  0.2692



The following is a DFT calculation (GGA-PBE) of a relaxed structure of HfFePt.

Properties
The energy of formation comes out at -228.4 meV per atom.

a b c (Å): 4.3541 4.3541 4.3541
angles (deg): 60.00 60.00 60.00
Element x y z (fractional)
Hf  0.0000  0.0000  0.0000
Fe  0.5000  0.5000  0.5000
Pt  0.7500  0.7500  0.7500



The following is a DFT calculation (GGA-PBE) of a relaxed structure of NdIn5Co.

a b c (Å): 4.5414 4.5414 7.4459
angles (deg): 90.00 90.00 90.00
Element x y z (fractional)
Nd  0.0000  0.0000  0.0000
In  0.0000  0.5000  0.3069
In  0.0000  0.5000  0.6931
In  0.5000  0.0000  0.3069
In  0.5000  0.0000  0.6931
In  0.5000  0.5000  0.0000
Co  0.0000  0.0000  0.5000



The following is a DFT calculation (GGA-PBE) of a relaxed structure of TaNb2Sn2.

Properties
The polymorph energy (0 for the lowest one) comes out at 0 meV/atom.

a b c (Å): 7.3542 7.3542 7.3542
angles (deg): 149.11 149.11 44.25
Element x y z (fractional)
Ta  0.0000  0.0000  0.0000
Nb  0.2500  0.7500  0.5000
Nb  0.7500  0.2500  0.5000
Sn  0.4012  0.4012  0.0000
Sn  0.5988  0.5988  0.0000



The following is a DFT calculation (GGA-PBE) of a relaxed structure of NbTcNiPb.

Properties
The polymorph energy (0 for the lowest one) comes out at 0 meV/atom.

a b c (Å): 4.5516 4.5516 4.5516
angles (deg): 60.00 60.00 60.00
Element x y z (fractional)
Nb  0.0000  0.0000  0.0000
Tc  0.2500  0.2500  0.2500
Ni  0.7500  0.7500  0.7500
Pb  0.5000  0.5000  0.5000



The following is a DFT calculation (GGA-PBE) of a relaxed structure of YCo4B4.

Properties
The polymorph energy (0 for the lowest one) comes out at 15 meV/atom.

a b c (Å): 5.0057 5.0057 6.9860
angles (deg): 90.00 90.00 90.00
Element x y z (fractional)
Y  0.2500  0.7500  0.2500
Y  0.7500  0.2500  0.7500
Co  0.0039  0.7500  0.6139
Co  0.2500  0.5039  0.8861
Co  0.2500  0.9961  0.8861
Co  0.4961  0.7500  0.6139
Co  0.5039  0.2500  0.3861
Co  0.7500  0.0039  0.1139
Co  0.7500  0.4961  0.1139
Co  0.9961  0.2500  0.3861
B  0.0748  0.2500  0.0904
B  0.2500  0.0748  0.5904
B  0.2500  0.4252  0.5904
B  0.4252  0.2500  0.0904
B  0.5748  0.7500  0.9096
B  0.7500  0.5748  0.4096
B  0.7500  0.9252  0.4096
B  0.9252  0.7500  0.9096



Number 1: total DFT energy (no corrections) -9.079 eV per atom. Number 2: total DFT energy (no corrections) -4.727 eV per atom. Number 3: total DFT energy (no corrections) -8.137 eV per atom. Number 4: total DFT energy (no corrections) -5.395 eV per atom. Number 5: total DFT energy (no corrections) -4.486 eV per atom. Number 6: total DFT energy (no corrections) -5.055 eV per atom. Number 7: total DFT energy (no corrections) -4.362 eV per atom. Number 8: total DFT energy (no corrections) -5.703 eV per atom. Number 9: total DFT energy (no corrections) -8.335 eV per atom. Number 10: total DFT energy (no corrections) -3.907 eV per atom. Number 11: total DFT energy (no corrections) -7.521 eV per atom. Number 12: total DFT energy (no corrections) -7.173 eV per atom. Number 13: total DFT energy (no corrections) -7.343 eV per atom.